[1]
Ac3La6Nd2 | GGA-PBE | relaxed

a b c (Å): 6.5921 8.4539 15.6783
angles (deg): 49.47 60.38 97.18
Last column: nearest neighbours and their distance in Å.
Atoms (fractional coordinates):
La1 0.7254 0.0849 0.8215  2 Nd 3.75, 5 La 3.75-3.87, 5 Ac 3.79-3.84
La2 0.2746 0.9151 0.1785  2 Nd 3.75, 5 La 3.75-3.87, 5 Ac 3.79-3.84
La3 0.9179 0.3672 0.2693  6 La 3.74-3.86, 3 Nd 3.75-3.86, 3 Ac 3.77-3.79
La4 0.1854 0.2669 0.4532  6 La 3.69-3.87, 2 Nd 3.77-3.79, 4 Ac 3.79-3.87
La5 0.0821 0.6328 0.7307  6 La 3.74-3.86, 3 Nd 3.75-3.86, 3 Ac 3.77-3.79
La6 0.8146 0.7331 0.5468  6 La 3.69-3.87, 2 Nd 3.77-3.79, 4 Ac 3.79-3.87
Ac1 0.5381 0.8210 0.3657  2 Nd 3.75-3.82, 8 La 3.77-3.87, 2 Ac 3.84-3.87
Ac2 0.4619 0.1790 0.6343  2 Nd 3.75-3.82, 8 La 3.77-3.87, 2 Ac 3.84-3.87
Ac3 0.0000 0.0000 0.0000  8 La 3.79-3.81, 2 Nd 3.82, 2 Ac 3.84
Nd1 0.6325 0.4528 0.0902  2 Nd 3.74-3.83, 7 La 3.75-3.86, 3 Ac 3.75-3.82
Nd2 0.3675 0.5472 0.9098  2 Nd 3.74-3.83, 7 La 3.75-3.86, 3 Ac 3.75-3.82

## Properties
crystal system = triclinic
SG = No. 2

=====

[2]
AcLaNd3 | GGA-PBE | relaxed

a b c (Å): 5.3439 7.4790 9.9139
angles (deg): 79.74 105.64 90.00
Last column: nearest neighbours and their distance in Å.
Atoms (fractional coordinates):
Nd1 0.5963 0.9535 0.1927  7 Nd 3.62-3.80, 2 La 3.73-3.75, 3 Ac 3.78-3.85
Nd2 0.1982 0.6511 0.3964  5 Nd 3.68-3.81, 4 Ac 3.71-3.77, 3 La 3.74-3.81
Nd3 0.9980 0.2529 0.9960  7 Nd 3.68-3.77, 4 La 3.72-3.76, 1 Ac 3.77
Nd4 0.0020 0.7471 0.0040  7 Nd 3.68-3.77, 4 La 3.72-3.76, 1 Ac 3.77
Nd5 0.8018 0.3489 0.6036  5 Nd 3.68-3.81, 4 Ac 3.71-3.77, 3 La 3.74-3.81
Nd6 0.4037 0.0465 0.8073  7 Nd 3.62-3.80, 2 La 3.73-3.75, 3 Ac 3.78-3.85
Ac1 0.8014 0.8456 0.6027  8 Nd 3.71-3.85, 2 La 3.77, 2 Ac 3.83
Ac2 0.1986 0.1544 0.3973  8 Nd 3.71-3.85, 2 La 3.77, 2 Ac 3.83
La1 0.5986 0.4544 0.1973  1 La 3.70, 9 Nd 3.72-3.81, 2 Ac 3.77
La2 0.4014 0.5456 0.8027  1 La 3.70, 9 Nd 3.72-3.81, 2 Ac 3.77

## Properties
crystal system = monoclinic
E above lowest polymorph = 0 meV per atom
SG = No. 12

=====

[3]
Ac2La5Nd2 | GGA-PBE | relaxed

a b c (Å): 12.8261 6.8351 10.6691
angles (deg): 108.68 126.95 90.00
Last column: nearest neighbours and their distance in Å.
Atoms (fractional coordinates):
La1 0.1751 0.1819 0.8872  5 La 3.34-3.56, 1 Ac 3.48
La2 0.5739 0.2312 0.7106  4 La 3.29-3.51, 2 Nd 3.52-3.55, 1 Ac 3.65
La3 0.3633 0.0206 0.2894  4 La 3.29-3.51, 2 Nd 3.52-3.55, 1 Ac 3.65
La4 0.2121 0.6819 0.8872  5 La 3.34-3.56, 1 Ac 3.48
La5 0.4261 0.5206 0.2894  4 La 3.29-3.51, 2 Nd 3.52-3.55, 1 Ac 3.65
La6 0.8249 0.2946 0.1128  5 La 3.34-3.56, 1 Ac 3.48
La7 0.7879 0.7946 0.1128  5 La 3.34-3.56, 1 Ac 3.48
La8 0.0528 0.7559 0.5000  2 Nd 3.48, 6 La 3.54-3.68, 2 Ac 3.68-3.85
La9 0.9472 0.2559 0.5000  2 Nd 3.48, 6 La 3.54-3.68, 2 Ac 3.68-3.85
La10 0.6367 0.7312 0.7106  4 La 3.29-3.51, 2 Nd 3.52-3.55, 1 Ac 3.65
Nd1 0.8635 0.4037 0.7665  4 La 3.48-3.87, 1 Nd 3.68, 2 Ac 3.80-3.83
Nd2 0.5970 0.1372 0.2335  4 La 3.48-3.87, 1 Nd 3.68, 2 Ac 3.80-3.83
Nd3 0.1365 0.6372 0.2335  4 La 3.48-3.87, 1 Nd 3.68, 2 Ac 3.80-3.83
Nd4 0.4030 0.9037 0.7665  4 La 3.48-3.87, 1 Nd 3.68, 2 Ac 3.80-3.83
Ac1 0.2329 0.3049 0.5000  4 La 3.65-3.85, 2 Nd 3.83, 2 Ac 3.93
Ac2 0.7671 0.8049 0.5000  4 La 3.65-3.85, 2 Nd 3.83, 2 Ac 3.93
Ac3 0.5000 0.5060 0.0000  4 La 3.48-3.71, 2 Nd 3.80
Ac4 0.0000 0.0060 0.0000  4 La 3.48-3.71, 2 Nd 3.80

## Properties
crystal system = orthorhombic
E above lowest polymorph = 72 meV per atom
SG = No. 46

=====

[4]
AcLa6Nd5 | GGA-PBE | relaxed

a b c (Å): 11.7822 5.2910 8.3718
angles (deg): 71.75 81.80 63.22
Last column: nearest neighbours and their distance in Å.
Atoms (fractional coordinates):
La1 0.7472 0.4202 0.6651  7 Nd 3.71-3.75, 4 La 3.72-3.76, 1 Ac 3.77
La2 0.2560 0.2439 0.0000  6 Nd 3.68-3.81, 4 La 3.75-3.76, 2 Ac 3.77-3.78
La3 0.7472 0.0856 0.3350  7 Nd 3.70-3.75, 4 La 3.72-3.76, 1 Ac 3.76
La4 0.7440 0.7561 0.0000  6 Nd 3.68-3.81, 4 La 3.75-3.76, 2 Ac 3.77-3.78
La5 0.2528 0.9144 0.6650  7 Nd 3.70-3.75, 4 La 3.72-3.76, 1 Ac 3.76
La6 0.2528 0.5798 0.3349  7 Nd 3.71-3.75, 4 La 3.72-3.76, 1 Ac 3.77
Nd1 0.5000 0.5000 0.0000  8 La 3.68-3.73, 4 Nd 3.74-3.75
Nd2 0.5000 0.8334 0.3334  8 La 3.69-3.71, 4 Nd 3.74-3.75
Nd3 0.5000 0.1666 0.6666  8 La 3.69-3.71, 4 Nd 3.74-3.75
Nd4 0.0000 0.6696 0.6608  2 Nd 3.67-3.68, 8 La 3.71-3.81, 2 Ac 3.77-3.78
Nd5 0.0000 0.3304 0.3392  2 Nd 3.67-3.68, 8 La 3.71-3.81, 2 Ac 3.77-3.78
Ac1 0.0000 0.0000 0.0000  8 La 3.76-3.78, 4 Nd 3.77-3.78

## Properties
crystal system = triclinic
E above lowest polymorph = 2 meV per atom
SG = No. 2

=====

Q: Which D(E_F) values were calculated for the entries above? A: 23.39; 17.71; 26.83; 22.31, in states/eV per cell.
Q: Which energy of formation values were calculated for the entries above? A: 0.02; 0.02; 0.15; 0.02, in eV per atom.